Below is crystalline CaTc2Pt at its relaxed geometry, with properties calculated at the PBE level.

POSCAR file:
```
CaTc2Pt
1.0
6.4686 0.0000 0.0000
0.0000 6.4686 0.0000
0.0000 0.0000 6.4686
Ca Tc Pt
4 8 4
Direct
0.0000 0.0000 0.0000 Ca
0.0000 0.5000 0.5000 Ca
0.5000 0.0000 0.5000 Ca
0.5000 0.5000 0.0000 Ca
0.0000 0.0000 0.5000 Tc
0.0000 0.5000 0.0000 Tc
0.2500 0.2500 0.2500 Tc
0.2500 0.7500 0.7500 Tc
0.5000 0.0000 0.0000 Tc
0.5000 0.5000 0.5000 Tc
0.7500 0.2500 0.7500 Tc
0.7500 0.7500 0.2500 Tc
0.2500 0.2500 0.7500 Pt
0.2500 0.7500 0.2500 Pt
0.7500 0.2500 0.2500 Pt
0.7500 0.7500 0.7500 Pt
```

Summary:
For the formation energy, the calculation gives 0.2552 eV/atom. The calculation puts the energy above the most stable polymorph in this dataset at 23.9 kJ per mole of atoms. Its magnetic moment is 0.30 μB/atom. The calculation puts the volume at 67.7 Å³/f.u. Its space-group type is F-43m (216). The total energy is -6.938 eV/atom. The density of states at the Fermi level comes out at 16.01 states/eV per cell.

Below is crystalline CaTcPt at its relaxed geometry, with properties calculated at the PBE level.

POSCAR file:
```
CaTcPt
1.0
2.9593 0.0000 0.0000
-1.4797 2.5628 0.0000
0.0000 0.0000 7.1728
Ca Tc Pt
1 1 1
Direct
0.0000 0.0000 0.0000 Ca
0.6667 0.3333 0.6438 Tc
0.3333 0.6667 0.3469 Pt
```

Summary:
For the formation energy, the calculation gives 0.3764 eV/atom. The calculation puts the energy above the most stable polymorph in this dataset at 35.2 kJ per mole of atoms. Its magnetic moment is 0.00 μB/atom. The calculation puts the volume at 54.4 Å³/f.u. Its space-group type is P3m1 (156). The total energy is -5.760 eV/atom. The density of states at the Fermi level comes out at 4.70 states/eV per cell.